No. 1
Here is a geometry-optimized Mg5Tl structure from Alexandria via LeMat-Bulk. Energies are from PBE.

abc: 7.199 7.199 4.503
angles: 90.00 90.00 143.17
Atoms (fractional coordinates):
Mg  0.639  0.361  0.000
Mg  0.305  0.695  0.000
Mg  0.141  0.859  0.500
Mg  0.472  0.528  0.500
Tl  0.972  0.028  0.000
Mg  0.803  0.197  0.500

Output
crystal system	orthorhombic
polymorph energy (0 for the lowest one)	2	meV/atom
calculated formation energy	-0.02	eV per atom
D(E_F)	2.62	states/eV per cell
space group	Cmmm (65)
total DFT energy (no corrections)	-10.44	eV/cell

=====

No. 2
Here is a geometry-optimized YMg3P structure from Alexandria via LeMat-Bulk. Energies are from PBE.

abc: 5.802 5.802 5.802
angles: 90.00 90.00 90.00
Atoms (fractional coordinates):
Mg  0.500  0.000  0.000
Mg  0.000  0.500  0.000
Mg  0.000  0.000  0.500
Y  0.000  0.000  0.000
P  0.500  0.500  0.500

Output
crystal system	cubic
polymorph energy (0 for the lowest one)	1418	meV/atom
calculated formation energy	1.42	eV per atom
D(E_F)	3.80	states/eV per cell
space group	Pm-3m (221)
total DFT energy (no corrections)	-9.55	eV/cell

=====

No. 3
Here is a geometry-optimized Co3PtBr structure from Alexandria via LeMat-Bulk. Energies are from PBE.

abc: 4.287 4.287 4.287
angles: 90.00 90.00 90.00
Atoms (fractional coordinates):
Pt  0.500  0.500  0.500
Br  0.000  0.000  0.000
Co  0.500  0.000  0.000
Co  0.000  0.000  0.500
Co  0.000  0.500  0.000

Output
crystal system	cubic
polymorph energy (0 for the lowest one)	0	meV/atom
D(E_F)	7.50	states/eV per cell
space group	Pm-3m (221)
total DFT energy (no corrections)	-23.44	eV/cell
formation energy without anion corrections	5.59	eV per formula unit

=====

No. 4
Here is a geometry-optimized ReW2 structure from Alexandria via LeMat-Bulk. Energies are from PBE.

abc: 7.728 7.728 4.687
angles: 90.00 90.00 159.97
Atoms (fractional coordinates):
Re  0.222  0.778  0.250
W  0.554  0.446  0.250
Re  0.778  0.222  0.750
W  0.118  0.882  0.750
W  0.882  0.118  0.250
W  0.446  0.554  0.750

Output
crystal system	orthorhombic
polymorph energy (0 for the lowest one)	284	meV/atom
calculated formation energy	0.33	eV per atom
D(E_F)	5.05	states/eV per cell
space group	Cmcm (63)
total DFT energy (no corrections)	-74.71	eV/cell

=====

No. 5
Here is a geometry-optimized Sm5ErTm5 structure from Alexandria via LeMat-Bulk. Energies are from PBE.

abc: 5.900 9.843 6.987
angles: 110.59 90.00 107.44
Atoms (fractional coordinates):
Tm  0.332  0.663  0.830
Sm  0.177  0.354  0.933
Sm  0.500  0.000  0.000
Tm  0.378  0.756  0.376
Sm  0.823  0.646  0.577
Tm  0.622  0.244  0.624
Tm  0.668  0.337  0.170
Sm  0.823  0.646  0.067
Er  0.000  0.000  0.000
Sm  0.177  0.354  0.423
Tm  0.000  0.000  0.500

Output
crystal system	monoclinic
calculated formation energy	0.27	eV per atom
D(E_F)	18.42	states/eV per cell
space group	C2/m (12)
total DFT energy (no corrections)	-47.49	eV/cell

=====

No. 6
Here is a geometry-optimized Ho2MnCd structure from Alexandria via LeMat-Bulk. Energies are from PBE.

abc: 5.136 5.136 5.136
angles: 60.00 60.00 60.00
Atoms (fractional coordinates):
Cd  0.000  0.000  0.000
Ho  0.250  0.250  0.250
Ho  0.750  0.750  0.750
Mn  0.500  0.500  0.500

Output
crystal system	cubic
polymorph energy (0 for the lowest one)	69	meV/atom
calculated formation energy	-0.02	eV per atom
D(E_F)	5.64	states/eV per cell
space group	Fm-3m (225)
total DFT energy (no corrections)	-19.30	eV/cell

=====

No. 7
Here is a geometry-optimized Tb2YO structure from Alexandria via LeMat-Bulk. Energies are from PBE.

abc: 3.207 3.207 8.755
angles: 90.00 90.00 90.00
Atoms (fractional coordinates):
O  0.500  0.500  0.000
Y  0.500  0.500  0.500
Tb  0.000  0.000  0.826
Tb  0.000  0.000  0.174

Output
crystal system	tetragonal
polymorph energy (0 for the lowest one)	363	meV/atom
D(E_F)	5.10	states/eV per cell
space group	P4/mmm (123)
total DFT energy (no corrections)	-23.99	eV/cell
formation energy without anion corrections	-3.31	eV per formula unit

=====

No. 8
Here is a geometry-optimized Ba2ErAuO5 structure from Alexandria via LeMat-Bulk. Energies are from PBE.

abc: 3.614 7.250 12.103
angles: 90.00 90.00 104.43
Atoms (fractional coordinates):
Ba  0.849  0.699  0.799
O  0.937  0.873  0.573
Er  0.208  0.416  0.023
Ba  0.908  0.816  0.181
O  0.483  0.967  0.782
O  0.730  0.459  0.135
Au  0.522  0.044  0.946
Er  0.792  0.584  0.523
O  0.333  0.666  0.400
O  0.624  0.249  0.486
Ba  0.151  0.301  0.299
O  0.063  0.127  0.073
O  0.376  0.751  0.986
O  0.667  0.334  0.900
Ba  0.092  0.184  0.681
O  0.270  0.541  0.635
O  0.517  0.033  0.282
Au  0.478  0.956  0.446

Output
crystal system	orthorhombic
space group	Cmc2_1 (36)
total DFT energy (no corrections)	-110.45	eV/cell
formation energy without anion corrections	-18.75	eV per formula unit

=====

No. 9
Here is a geometry-optimized SrNiAs2 structure from Alexandria via LeMat-Bulk. Energies are from PBE.

abc: 4.873 4.873 4.873
angles: 60.00 60.00 60.00
Atoms (fractional coordinates):
As  0.750  0.750  0.750
Sr  0.500  0.500  0.500
As  0.250  0.250  0.250
Ni  0.000  0.000  0.000

Output
crystal system	cubic
calculated formation energy	-0.05	eV per atom
D(E_F)	3.52	states/eV per cell
space group	Fm-3m (225)
total DFT energy (no corrections)	-16.97	eV/cell

=====

No. 10
Here is a geometry-optimized Ac4HgBiSe2 structure from Alexandria via LeMat-Bulk. Energies are from PBE.

abc: 4.588 8.151 8.035
angles: 71.22 90.00 90.00
Atoms (fractional coordinates):
Ac  0.000  0.765  0.742
Ac  0.500  0.762  0.250
Se  0.000  0.000  0.000
Se  0.500  0.000  0.500
Ac  0.000  0.235  0.258
Ac  0.500  0.238  0.750
Hg  0.000  0.500  0.500
Bi  0.500  0.500  0.000

Output
crystal system	monoclinic
D(E_F)	6.00	states/eV per cell
space group	P2/m (10)
total DFT energy (no corrections)	-37.52	eV/cell
formation energy without anion corrections	-9.93	eV per formula unit

=====

No. 11
Here is a geometry-optimized KMoP2S structure from Alexandria via LeMat-Bulk. Energies are from PBE.

abc: 4.740 4.740 4.928
angles: 90.00 90.00 90.00
Atoms (fractional coordinates):
S  0.000  0.000  0.500
K  0.500  0.500  0.500
P  0.500  0.000  0.000
P  0.000  0.500  0.000
Mo  0.000  0.000  0.000

Output
crystal system	tetragonal
polymorph energy (0 for the lowest one)	0	meV/atom
D(E_F)	4.50	states/eV per cell
space group	P4/mmm (123)
total DFT energy (no corrections)	-27.42	eV/cell
formation energy without anion corrections	-0.55	eV per formula unit

=====

No. 12
Here is a geometry-optimized BaPd5Au2 structure from Alexandria via LeMat-Bulk. Energies are from PBE.

abc: 4.171 6.775 6.775
angles: 67.87 72.07 72.07
Atoms (fractional coordinates):
Pd  0.365  0.814  0.455
Au  0.745  0.755  0.755
Au  0.255  0.245  0.245
Pd  0.635  0.186  0.545
Ba  0.000  0.000  0.000
Pd  0.365  0.455  0.814
Pd  0.000  0.500  0.500
Pd  0.635  0.545  0.186

Output
crystal system	orthorhombic
calculated formation energy	-0.15	eV per atom
D(E_F)	6.66	states/eV per cell
space group	Immm (71)
total DFT energy (no corrections)	-35.63	eV/cell